P:
Below is crystalline V2GePtRh at its relaxed geometry, with properties calculated at the GGA-PBE level.

The structure in POSCAR format:
```
V2GePtRh
1.0
4.474 0.000 0.000
0.000 4.487 0.000
0.000 0.000 4.474
V Rh Ge Pt
2 1 1 1
Cartesian
2.237 0.000 0.000 V
0.000 0.000 2.237 V
2.237 2.244 2.237 Rh
0.000 0.000 0.000 Ge
0.000 2.244 0.000 Pt
```

Properties
Its symmetry is P4/mmm. As for the density of states at the Fermi level: 5.52 states/eV/cell. The spin magnetization is 1.5 Bohr magnetons per cell.

---

Q:
Below is crystalline V2GePtRh at its relaxed geometry, with properties calculated at the GGA-PBE level.

The structure in POSCAR format:
```
V2GePtRh
1.0
4.660 0.000 0.000
0.000 4.550 0.000
0.000 0.000 4.660
V Rh Pt Ge
2 1 1 1
Cartesian
2.330 0.000 0.000 V
0.000 0.000 2.330 V
2.330 2.275 2.330 Rh
0.000 0.000 0.000 Pt
0.000 2.275 0.000 Ge
```

Properties
Its symmetry is P4/mmm. As for the density of states at the Fermi level: 9.09 states/eV/cell. The spin magnetization is 0.0 Bohr magnetons per cell.

---

Least stable: Q

---

P:
Below is crystalline GeRu3Pt at its relaxed geometry, with properties calculated at the GGA-PBE level.

The structure in POSCAR format:
```
GeRu3Pt
1.0
4.460 0.000 0.000
0.000 4.460 0.000
0.000 0.000 4.460
Ge Pt Ru
1 1 3
Cartesian
0.000 0.000 0.000 Ge
2.230 2.230 2.230 Pt
0.000 0.000 2.230 Ru
2.230 0.000 0.000 Ru
0.000 2.230 0.000 Ru
```

Properties
Its symmetry is Pm-3m. As for the density of states at the Fermi level: 8.02 states/eV/cell. The spin magnetization is 0.3 Bohr magnetons per cell.

---

Q:
Below is crystalline GeRu3Pt at its relaxed geometry, with properties calculated at the GGA-PBE level.

The structure in POSCAR format:
```
GeRu3Pt
1.0
-1.451 -0.286 -4.542
-0.608 -4.712 0.491
-4.510 0.728 1.395
Pt Ge Ru
1 1 3
Cartesian
0.000 0.000 0.000 Pt
-3.285 -2.135 -1.328 Ge
-0.726 -0.143 -2.271 Ru
-2.255 0.364 0.698 Ru
-0.304 -2.356 0.245 Ru
```

Properties
Its symmetry is Pm-3m. As for the density of states at the Fermi level: 9.66 states/eV/cell. The spin magnetization is 3.5 Bohr magnetons per cell.

---

Least stable: Q

---

P:
Below is crystalline Ge2RuPt at its relaxed geometry, with properties calculated at the GGA-PBE level.

The structure in POSCAR format:
```
Ge2RuPt
1.0
5.562 0.000 0.000
0.000 5.562 0.000
2.781 2.781 5.559
Ge Pt Ru
4 2 2
Cartesian
6.952 6.900 4.169 Ge
1.443 4.171 1.390 Ge
4.171 4.224 4.169 Ge
4.119 1.390 1.390 Ge
5.562 2.781 2.780 Pt
0.000 0.000 0.000 Pt
2.781 2.781 0.000 Ru
2.781 5.562 2.780 Ru
```

Properties
Its symmetry is I-42d. As for the density of states at the Fermi level: 3.24 states/eV/cell. The spin magnetization is 0.0 Bohr magnetons per cell.

---

Q:
Below is crystalline Ge2RuPt at its relaxed geometry, with properties calculated at the GGA-PBE level.

The structure in POSCAR format:
```
Ge2RuPt
1.0
-2.575 1.236 1.136
-2.682 -1.465 -0.327
-0.576 -3.704 6.879
Pt Ge Ru
1 2 1
Cartesian
-3.496 -0.179 0.587 Pt
-1.447 -1.018 1.986 Ge
-0.884 -2.753 5.147 Ge
-2.922 -1.950 3.813 Ru
```

Properties
Its symmetry is R3m. As for the density of states at the Fermi level: 3.15 states/eV/cell. The spin magnetization is 0.0 Bohr magnetons per cell.

---

R:
Below is crystalline Ge2RuPt at its relaxed geometry, with properties calculated at the GGA-PBE level.

The structure in POSCAR format:
```
Ge2RuPt
1.0
0.000 3.125 3.125
3.125 0.000 3.125
3.125 3.125 0.000
Ru Ge Pt
1 2 1
Cartesian
0.000 0.000 0.000 Ru
1.563 1.563 1.563 Ge
4.688 4.688 4.688 Ge
3.125 3.125 3.125 Pt
```

Properties
Its symmetry is Fm-3m. As for the density of states at the Fermi level: 2.96 states/eV/cell. The spin magnetization is 1.2 Bohr magnetons per cell.

---

Least stable: P

---

P:
Below is crystalline Ge2Sb2Pt at its relaxed geometry, with properties calculated at the GGA-PBE level.

The structure in POSCAR format:
```
Ge2Sb2Pt
1.0
6.434 0.000 0.000
0.000 6.434 0.000
0.000 0.000 5.384
Sb Ge Pt
4 4 2
Cartesian
1.172 4.389 2.692 Sb
4.389 5.262 2.692 Sb
2.045 1.172 2.692 Sb
5.262 2.045 2.692 Sb
0.899 2.318 0.000 Ge
4.117 0.899 0.000 Ge
5.535 4.117 0.000 Ge
2.318 5.535 0.000 Ge
0.000 0.000 0.000 Pt
3.217 3.217 0.000 Pt
```

Properties
Its symmetry is P4/mbm. As for the density of states at the Fermi level: 5.97 states/eV/cell. The spin magnetization is 0.0 Bohr magnetons per cell.

---

Q:
Below is crystalline Ge2Sb2Pt at its relaxed geometry, with properties calculated at the GGA-PBE level.

The structure in POSCAR format:
```
Ge2Sb2Pt
1.0
7.293 0.000 0.000
0.000 7.293 0.000
0.000 0.000 4.453
Pt Sb Ge
2 4 4
Cartesian
0.000 0.000 0.000 Pt
3.646 3.646 0.000 Pt
1.261 2.385 0.000 Sb
2.385 6.031 0.000 Sb
6.031 4.908 0.000 Sb
4.908 1.261 0.000 Sb
6.339 2.692 2.226 Ge
4.600 6.339 2.226 Ge
2.692 0.954 2.226 Ge
0.954 4.600 2.226 Ge
```

Properties
Its symmetry is P4/mbm. As for the density of states at the Fermi level: 3.85 states/eV/cell. The spin magnetization is 0.0 Bohr magnetons per cell.

---

R:
Below is crystalline Ge2Sb2Pt at its relaxed geometry, with properties calculated at the GGA-PBE level.

The structure in POSCAR format:
```
Ge2Sb2Pt
1.0
3.599 0.000 0.000
0.000 3.599 0.000
1.799 1.799 8.543
Pt Ge Sb
1 2 2
Cartesian
0.000 0.000 0.000 Pt
3.599 1.799 4.272 Ge
1.799 3.599 4.272 Ge
1.799 1.799 1.544 Sb
3.599 3.599 6.999 Sb
```

Properties
Its symmetry is I4/mmm. As for the density of states at the Fermi level: 2.91 states/eV/cell. The spin magnetization is 0.0 Bohr magnetons per cell.

---

Least stable: Q

---

P:
Below is crystalline GeSbPt2 at its relaxed geometry, with properties calculated at the GGA-PBE level.

The structure in POSCAR format:
```
GeSbPt2
1.0
0.000 3.321 3.321
3.321 0.000 3.321
3.321 3.321 0.000
Pt Ge Sb
2 1 1
Cartesian
4.982 4.982 4.982 Pt
1.661 1.661 1.661 Pt
0.000 0.000 0.000 Ge
3.321 3.321 3.321 Sb
```

Properties
Its symmetry is Fm-3m. As for the density of states at the Fermi level: 1.98 states/eV/cell. The spin magnetization is 0.0 Bohr magnetons per cell.

---

Q:
Below is crystalline GeSbPt2 at its relaxed geometry, with properties calculated at the GGA-PBE level.

The structure in POSCAR format:
```
GeSbPt2
1.0
-1.067 0.798 -5.354
-6.800 0.331 1.404
1.223 16.043 2.146
Ge Sb Pt
8 8 16
Cartesian
0.310 15.313 0.657 Ge
-3.091 7.763 -2.352 Ge
-0.249 7.252 -0.151 Ge
-2.532 15.824 -1.543 Ge
-6.954 1.858 -2.461 Ge
-6.395 9.919 -1.653 Ge
-3.553 9.408 0.547 Ge
-4.112 1.347 -0.261 Ge
-6.631 5.955 -2.164 Sb
-0.012 11.216 0.360 Sb
-5.979 13.947 -0.888 Sb
-3.388 3.730 -3.142 Sb
-0.665 3.225 -0.917 Sb
-3.255 13.441 1.337 Sb
-3.908 5.450 0.061 Sb
-2.736 11.721 -1.865 Sb
-1.367 5.271 1.045 Pt
-2.539 1.724 -4.911 Pt
-5.245 7.822 -0.621 Pt
-5.276 11.901 -2.850 Pt
-1.399 9.350 -1.183 Pt
-1.780 5.664 -1.657 Pt
-1.284 13.688 -0.536 Pt
-2.326 1.341 -2.168 Pt
-4.104 15.448 3.107 Pt
-4.863 11.508 -0.148 Pt
-1.697 14.081 -3.238 Pt
-4.946 3.091 1.434 Pt
-5.458 8.205 -3.365 Pt
-4.317 15.831 0.364 Pt
-1.186 8.967 1.560 Pt
-5.359 3.484 -1.268 Pt
```

Properties
Its symmetry is Pbca. As for the density of states at the Fermi level: 11.79 states/eV/cell. The spin magnetization is 0.0 Bohr magnetons per cell.

---

R:
Below is crystalline GeSbPt2 at its relaxed geometry, with properties calculated at the GGA-PBE level.

The structure in POSCAR format:
```
GeSbPt2
1.0
6.029 0.000 0.000
0.000 6.029 0.000
3.015 3.015 5.366
Pt Sb Ge
4 2 2
Cartesian
1.645 4.522 1.342 Pt
4.522 4.660 4.025 Pt
4.384 1.507 1.342 Pt
7.536 7.398 4.025 Pt
0.000 0.000 0.000 Sb
6.029 3.015 2.683 Sb
3.015 6.029 2.683 Ge
3.015 3.015 0.000 Ge
```

Properties
Its symmetry is I-42d. As for the density of states at the Fermi level: 4.07 states/eV/cell. The spin magnetization is 0.0 Bohr magnetons per cell.

---

Least stable: P

---

P:
Below is crystalline GeSb2TePt at its relaxed geometry, with properties calculated at the GGA-PBE level.

The structure in POSCAR format:
```
GeSb2TePt
1.0
5.192 0.000 0.000
0.000 5.192 0.000
0.000 0.000 5.507
Te Pt Ge Sb
1 1 1 2
Cartesian
0.000 0.000 2.753 Te
0.000 0.000 0.000 Pt
2.596 2.596 2.753 Ge
0.000 2.596 0.000 Sb
2.596 0.000 0.000 Sb
```

Properties
Its symmetry is P4/mmm. As for the density of states at the Fermi level: 3.83 states/eV/cell. The spin magnetization is 0.0 Bohr magnetons per cell.

---

Q:
Below is crystalline GeSb2TePt at its relaxed geometry, with properties calculated at the GGA-PBE level.

The structure in POSCAR format:
```
GeSb2TePt
1.0
-5.311 2.238 -0.006
-1.897 -4.501 0.164
0.070 0.180 5.760
Sb Pt Te Ge
2 1 1 1
Cartesian
-2.656 1.119 -0.003 Sb
0.035 0.090 2.880 Sb
-0.948 -2.250 0.082 Pt
0.000 0.000 0.000 Te
-3.569 -1.041 2.959 Ge
```

Properties
Its symmetry is P4/mmm. As for the density of states at the Fermi level: 2.24 states/eV/cell. The spin magnetization is 0.0 Bohr magnetons per cell.

---

R:
Below is crystalline GeSb2TePt at its relaxed geometry, with properties calculated at the GGA-PBE level.

The structure in POSCAR format:
```
GeSb2TePt
1.0
5.239 0.000 0.000
0.000 5.239 0.000
0.000 0.000 5.199
Pt Sb Te Ge
1 2 1 1
Cartesian
2.620 2.620 2.600 Pt
2.620 0.000 0.000 Sb
0.000 2.620 0.000 Sb
0.000 0.000 2.600 Te
0.000 0.000 0.000 Ge
```

Properties
Its symmetry is P4/mmm. As for the density of states at the Fermi level: 3.54 states/eV/cell. The spin magnetization is 0.0 Bohr magnetons per cell.

---

Least stable: R